Record 1
# PBE BaTaNF2, relaxed
# symmetry: No. 123
# total moment: 1.99 μB per formula unit
# energy above the lowest structure with this stoichiometry: 9.259 eV/f.u.
# volume: 127.3 Å³/cell
# D(E_F): 5.48 states/eV per cell
# formation energy without anion corrections: 0.0785 eV/atom
data_BaTaNF2
_chemical_formula_sum 'Ba1 Ta1 N1 F2'
_cell_length_a 4.722
_cell_length_b 4.722
_cell_length_c 5.707
_cell_angle_alpha 90.00
_cell_angle_beta 90.00
_cell_angle_gamma 90.00
_symmetry_space_group_name_H-M 'P 1'
_symmetry_Int_Tables_number 1
loop_
_symmetry_equiv_pos_as_xyz
'x,y,z'
loop_
_atom_site_label
_atom_site_type_symbol
_atom_site_fract_x
_atom_site_fract_y
_atom_site_fract_z
Ba1 Ba 0.000 0.000 0.000
Ta1 Ta 0.500 0.500 0.500
N1 N 0.000 0.000 0.500
F1 F 0.000 0.500 0.000
F2 F 0.500 0.000 0.000

Record 2
# PBE BaLaSi2P, relaxed
# symmetry: No. 123
# total moment: 0.00 μB per formula unit
# energy above the lowest structure with this stoichiometry: 0.000 eV/f.u.
# volume: 169.5 Å³/cell
# D(E_F): 3.90 states/eV per cell
# formation energy without anion corrections: 0.2296 eV/atom
data_BaLaSi2P
_chemical_formula_sum 'Ba1 La1 Si2 P1'
_cell_length_a 5.547
_cell_length_b 5.547
_cell_length_c 5.508
_cell_angle_alpha 90.00
_cell_angle_beta 90.00
_cell_angle_gamma 90.00
_symmetry_space_group_name_H-M 'P 1'
_symmetry_Int_Tables_number 1
loop_
_symmetry_equiv_pos_as_xyz
'x,y,z'
loop_
_atom_site_label
_atom_site_type_symbol
_atom_site_fract_x
_atom_site_fract_y
_atom_site_fract_z
Ba1 Ba 0.000 0.000 0.000
La1 La 0.500 0.500 0.500
Si1 Si 0.000 0.500 0.500
Si2 Si 0.500 0.000 0.500
P1 P 0.500 0.500 0.000

Record 3
# PBE MgTcOs2, relaxed
# symmetry: No. 119
# total moment: 0.54 μB per formula unit
# energy relative to the elements: 341 meV per atom
# volume: 59.2 Å³/cell
# D(E_F): 5.56 states/eV per cell
data_MgTcOs2
_chemical_formula_sum 'Mg1 Tc1 Os2'
_cell_length_a 4.873
_cell_length_b 4.873
_cell_length_c 4.873
_cell_angle_alpha 133.83
_cell_angle_beta 133.83
_cell_angle_gamma 67.35
_symmetry_space_group_name_H-M 'P 1'
_symmetry_Int_Tables_number 1
loop_
_symmetry_equiv_pos_as_xyz
'x,y,z'
loop_
_atom_site_label
_atom_site_type_symbol
_atom_site_fract_x
_atom_site_fract_y
_atom_site_fract_z
Mg1 Mg 0.000 0.000 0.000
Tc1 Tc 0.750 0.250 0.500
Os1 Os 0.250 0.750 0.500
Os2 Os 0.500 0.500 0.000

What did the first record say?
# PBE BaTaNF2, relaxed
# symmetry: No. 123
# total moment: 1.99 μB per formula unit
# energy above the lowest structure with this stoichiometry: 9.259 eV/f.u.
# volume: 127.3 Å³/cell
# D(E_F): 5.48 states/eV per cell
# formation energy without anion corrections: 0.0785 eV/atom
data_BaTaNF2
_chemical_formula_sum 'Ba1 Ta1 N1 F2'
_cell_length_a 4.722
_cell_length_b 4.722
_cell_length_c 5.707
_cell_angle_alpha 90.00
_cell_angle_beta 90.00
_cell_angle_gamma 90.00
_symmetry_space_group_name_H-M 'P 1'
_symmetry_Int_Tables_number 1
loop_
_symmetry_equiv_pos_as_xyz
'x,y,z'
loop_
_atom_site_label
_atom_site_type_symbol
_atom_site_fract_x
_atom_site_fract_y
_atom_site_fract_z
Ba1 Ba 0.000 0.000 0.000
Ta1 Ta 0.500 0.500 0.500
N1 N 0.000 0.000 0.500
F1 F 0.000 0.500 0.000
F2 F 0.500 0.000 0.000

What did the first record say?
# PBE BaTaNF2, relaxed
# symmetry: No. 123
# total moment: 1.99 μB per formula unit
# energy above the lowest structure with this stoichiometry: 9.259 eV/f.u.
# volume: 127.3 Å³/cell
# D(E_F): 5.48 states/eV per cell
# formation energy without anion corrections: 0.0785 eV/atom
data_BaTaNF2
_chemical_formula_sum 'Ba1 Ta1 N1 F2'
_cell_length_a 4.722
_cell_length_b 4.722
_cell_length_c 5.707
_cell_angle_alpha 90.00
_cell_angle_beta 90.00
_cell_angle_gamma 90.00
_symmetry_space_group_name_H-M 'P 1'
_symmetry_Int_Tables_number 1
loop_
_symmetry_equiv_pos_as_xyz
'x,y,z'
loop_
_atom_site_label
_atom_site_type_symbol
_atom_site_fract_x
_atom_site_fract_y
_atom_site_fract_z
Ba1 Ba 0.000 0.000 0.000
Ta1 Ta 0.500 0.500 0.500
N1 N 0.000 0.000 0.500
F1 F 0.000 0.500 0.000
F2 F 0.500 0.000 0.000

Question: Among the records above, which one has the highest D(E_F)?
Answer: MgTcOs2

Question: What is the D(E_F) in the second record?
Answer: 3.90 states/eV per cell